Entry 1
Compound: Be2Ni2Ge
Source: the Alexandria database
Functional: PBE
Structure: optimized geometry

Output
As for the total magnetization: 0.00 μB/f.u.

Unit cell a=6.223 b=6.223 c=2.777 alpha=90.00 beta=90.00 gamma=90.00
Element x y z (fractional)
Be (0.138, 0.362, 0.000)
Be (0.362, 0.862, 0.000)
Be (0.638, 0.138, 0.000)
Be (0.862, 0.638, 0.000)
Ni (0.151, 0.651, 0.500)
Ni (0.349, 0.151, 0.500)
Ni (0.651, 0.849, 0.500)
Ni (0.849, 0.349, 0.500)
Ge (0.000, 0.000, 0.500)
Ge (0.500, 0.500, 0.500)

---

Entry 2
Compound: Be2Ni2Ge
Source: the Alexandria database
Functional: PBE
Structure: optimized geometry

Output
As for the total magnetization: 0.00 μB/f.u.

Unit cell a=6.080 b=6.080 c=2.795 alpha=90.00 beta=90.00 gamma=90.00
Element x y z (fractional)
Be (0.125, 0.375, 0.000)
Be (0.375, 0.875, 0.000)
Be (0.625, 0.125, 0.000)
Be (0.875, 0.625, 0.000)
Ni (0.163, 0.663, 0.500)
Ni (0.337, 0.163, 0.500)
Ni (0.663, 0.837, 0.500)
Ni (0.837, 0.337, 0.500)
Ge (0.000, 0.000, 0.000)
Ge (0.500, 0.500, 0.000)

---

entry 2 is the most stable structure; the next one sits 2.0 kJ/mol of atoms above it.

---

Entry 1
Compound: Be3GeO
Source: the Alexandria database
Functional: PBE
Structure: optimized geometry

Output
As for the total magnetization: 0.00 μB/f.u.

Unit cell a=4.136 b=4.136 c=4.136 alpha=90.00 beta=90.00 gamma=90.00
Element x y z (fractional)
Be (0.000, 0.000, 0.500)
Be (0.000, 0.500, 0.000)
Be (0.500, 0.000, 0.000)
Ge (0.000, 0.000, 0.000)
O (0.500, 0.500, 0.500)

---

Entry 2
Compound: Be3GeO
Source: the Alexandria database
Functional: PBE
Structure: optimized geometry

Output
As for the total magnetization: 0.00 μB/f.u.

Unit cell a=3.636 b=3.636 c=3.636 alpha=90.00 beta=90.00 gamma=90.00
Element x y z (fractional)
Be (0.000, 0.000, 0.500)
Be (0.000, 0.500, 0.000)
Be (0.500, 0.000, 0.000)
Ge (0.500, 0.500, 0.500)
O (0.000, 0.000, 0.000)

---

entry 2 is the most stable structure; the next one sits 108.4 kJ/mol of atoms above it.

---

Entry 1
Compound: Be2GeO4
Source: the Alexandria database
Functional: PBE
Structure: optimized geometry

Output
As for the total magnetization: 0.00 μB/f.u.

Unit cell a=3.970 b=3.970 c=8.312 alpha=90.00 beta=90.00 gamma=90.00
Element x y z (fractional)
Be (0.000, 0.500, 0.250)
Be (0.000, 0.500, 0.750)
Be (0.500, 0.000, 0.250)
Be (0.500, 0.000, 0.750)
Ge (0.000, 0.000, 0.000)
Ge (0.500, 0.500, 0.500)
O (0.239, 0.239, 0.859)
O (0.239, 0.761, 0.141)
O (0.261, 0.261, 0.359)
O (0.261, 0.739, 0.641)
O (0.739, 0.261, 0.641)
O (0.739, 0.739, 0.359)
O (0.761, 0.239, 0.141)
O (0.761, 0.761, 0.859)

---

Entry 2
Compound: Be2GeO4
Source: the Alexandria database
Functional: PBE
Structure: optimized geometry

Output
As for the total magnetization: 0.00 μB/f.u.

Unit cell a=3.827 b=3.827 c=8.914 alpha=90.00 beta=90.00 gamma=90.00
Element x y z (fractional)
Be (0.000, 0.000, 0.142)
Be (0.000, 0.000, 0.858)
Be (0.500, 0.500, 0.358)
Be (0.500, 0.500, 0.642)
Ge (0.000, 0.000, 0.500)
Ge (0.500, 0.500, 0.000)
O (0.000, 0.000, 0.300)
O (0.000, 0.000, 0.700)
O (0.000, 0.500, 0.000)
O (0.000, 0.500, 0.500)
O (0.500, 0.000, 0.000)
O (0.500, 0.000, 0.500)
O (0.500, 0.500, 0.200)
O (0.500, 0.500, 0.800)

---

Entry 3
Compound: Be2GeO4
Source: the Alexandria database
Functional: PBE
Structure: optimized geometry

Output
As for the total magnetization: 0.00 μB/f.u.

Unit cell a=7.953 b=7.953 c=7.953 alpha=108.00 beta=108.00 gamma=108.00
Element x y z (fractional)
Be (0.105, 0.279, 0.872)
Be (0.128, 0.895, 0.721)
Be (0.207, 0.430, 0.609)
Be (0.279, 0.872, 0.105)
Be (0.391, 0.793, 0.570)
Be (0.430, 0.609, 0.207)
Be (0.570, 0.391, 0.793)
Be (0.609, 0.207, 0.430)
Be (0.721, 0.128, 0.895)
Be (0.793, 0.570, 0.391)
Be (0.872, 0.105, 0.279)
Be (0.895, 0.721, 0.128)
Ge (0.055, 0.463, 0.232)
Ge (0.232, 0.055, 0.463)
Ge (0.463, 0.232, 0.055)
Ge (0.537, 0.768, 0.945)
Ge (0.768, 0.945, 0.537)
Ge (0.945, 0.537, 0.768)
O (0.019, 0.044, 0.712)
O (0.044, 0.330, 0.375)
O (0.044, 0.712, 0.019)
O (0.091, 0.411, 0.748)
O (0.252, 0.909, 0.589)
O (0.288, 0.981, 0.956)
O (0.306, 0.635, 0.336)
O (0.330, 0.375, 0.044)
O (0.336, 0.306, 0.635)
O (0.365, 0.664, 0.694)
O (0.375, 0.044, 0.330)
O (0.411, 0.748, 0.091)
O (0.589, 0.252, 0.909)
O (0.625, 0.956, 0.670)
O (0.635, 0.336, 0.306)
O (0.664, 0.694, 0.365)
O (0.670, 0.625, 0.956)
O (0.694, 0.365, 0.664)
O (0.712, 0.019, 0.044)
O (0.748, 0.091, 0.411)
O (0.909, 0.589, 0.252)
O (0.956, 0.288, 0.981)
O (0.956, 0.670, 0.625)
O (0.981, 0.956, 0.288)

---

Entry 4
Compound: Be2GeO4
Source: the Alexandria database
Functional: PBE
Structure: optimized geometry

Output
As for the total magnetization: 0.00 μB/f.u.

Unit cell a=3.928 b=3.928 c=4.156 alpha=90.00 beta=90.00 gamma=90.00
Element x y z (fractional)
Be (0.000, 0.500, 0.000)
Be (0.500, 0.000, 0.000)
Ge (0.000, 0.000, 0.500)
O (0.246, 0.246, 0.777)
O (0.246, 0.754, 0.223)
O (0.754, 0.246, 0.223)
O (0.754, 0.754, 0.777)

---

entry 3 is the most stable structure; the next one sits 10.7 kJ/mol of atoms above it.

---

Entry 1
Compound: BeGePO2
Source: the Alexandria database
Functional: PBE
Structure: optimized geometry

Output
As for the total magnetization: 0.00 μB/f.u.

Unit cell a=3.465 b=3.465 c=4.820 alpha=90.00 beta=90.00 gamma=90.00
Element x y z (fractional)
Be (0.000, 0.000, 0.000)
Ge (0.500, 0.500, 0.500)
P (0.000, 0.000, 0.500)
O (0.000, 0.500, 0.000)
O (0.500, 0.000, 0.000)

---

Entry 2
Compound: BeGePO2
Source: the Alexandria database
Functional: PBE
Structure: optimized geometry

Output
As for the total magnetization: 0.00 μB/f.u.

Unit cell a=3.553 b=3.553 c=5.389 alpha=90.00 beta=90.00 gamma=90.00
Element x y z (fractional)
Be (0.000, 0.000, 0.000)
Ge (0.500, 0.500, 0.500)
P (0.500, 0.500, 0.000)
O (0.000, 0.500, 0.500)
O (0.500, 0.000, 0.500)

---

entry 1 is the most stable structure; the next one sits 14.3 kJ/mol of atoms above it.

---

Entry 1
Compound: Be2GeSO
Source: the Alexandria database
Functional: PBE
Structure: optimized geometry

Output
As for the total magnetization: 0.00 μB/f.u.

Unit cell a=3.760 b=3.760 c=5.645 alpha=90.00 beta=90.00 gamma=90.00
Element x y z (fractional)
Be (0.000, 0.500, 0.000)
Be (0.500, 0.000, 0.000)
Ge (0.000, 0.000, 0.500)
S (0.000, 0.000, 0.000)
O (0.500, 0.500, 0.500)

---

Entry 2
Compound: Be2GeSO
Source: the Alexandria database
Functional: PBE
Structure: optimized geometry

Output
As for the total magnetization: 0.00 μB/f.u.

Unit cell a=3.948 b=3.948 c=4.390 alpha=90.00 beta=90.00 gamma=90.00
Element x y z (fractional)
Be (0.000, 0.500, 0.000)
Be (0.500, 0.000, 0.000)
Ge (0.000, 0.000, 0.500)
S (0.500, 0.500, 0.000)
O (0.500, 0.500, 0.500)

---

entry 2 is the most stable structure; the next one sits 14.6 kJ/mol of atoms above it.

---

Entry 1
Compound: Be2GeOs2
Source: the Alexandria database
Functional: PBE
Structure: optimized geometry

Output
As for the total magnetization: 0.00 μB/f.u.

Unit cell a=6.376 b=6.376 c=3.100 alpha=90.00 beta=90.00 gamma=90.00
Element x y z (fractional)
Be (0.133, 0.367, 0.000)
Be (0.367, 0.867, 0.000)
Be (0.633, 0.133, 0.000)
Be (0.867, 0.633, 0.000)
Ge (0.000, 0.000, 0.500)
Ge (0.500, 0.500, 0.500)
Os (0.155, 0.655, 0.500)
Os (0.345, 0.155, 0.500)
Os (0.655, 0.845, 0.500)
Os (0.845, 0.345, 0.500)

---

Entry 2
Compound: Be2GeOs2
Source: the Alexandria database
Functional: PBE
Structure: optimized geometry

Output
As for the total magnetization: 0.00 μB/f.u.

Unit cell a=6.183 b=6.183 c=3.012 alpha=90.00 beta=90.00 gamma=90.00
Element x y z (fractional)
Be (0.121, 0.379, 0.000)
Be (0.379, 0.879, 0.000)
Be (0.621, 0.121, 0.000)
Be (0.879, 0.621, 0.000)
Ge (0.000, 0.000, 0.000)
Ge (0.500, 0.500, 0.000)
Os (0.171, 0.671, 0.500)
Os (0.329, 0.171, 0.500)
Os (0.671, 0.829, 0.500)
Os (0.829, 0.329, 0.500)

---

entry 1 is the most stable structure; the next one sits 2.3 kJ/mol of atoms above it.